A relaxed structure of Sc6Ga5Ag. Source: Alexandria, functional PBE.

abc: 4.778 6.706 7.570
angles: 90.00 108.30 90.00
Fractional positions:
Sc  0.000  0.245  0.000
Sc  0.000  0.755  0.000
Sc  0.331  0.250  0.662
Sc  0.331  0.750  0.662
Sc  0.669  0.250  0.338
Sc  0.669  0.750  0.338
Ga  0.160  0.500  0.321
Ga  0.166  0.000  0.332
Ga  0.500  0.000  0.000
Ga  0.834  0.000  0.668
Ga  0.840  0.500  0.679
Ag  0.500  0.500  0.000

Density: 5.24 g cm⁻³
Energy of formation: -554 meV per atom

***

A relaxed structure of HfNp4Rh15. Source: Alexandria, functional PBE.

abc: 4.013 4.013 20.088
angles: 90.00 90.00 90.00
Fractional positions:
Hf  0.000  0.000  0.000
Np  0.000  0.000  0.198
Np  0.000  0.000  0.399
Np  0.000  0.000  0.601
Np  0.000  0.000  0.802
Rh  0.000  0.500  0.098
Rh  0.000  0.500  0.297
Rh  0.000  0.500  0.500
Rh  0.000  0.500  0.703
Rh  0.000  0.500  0.902
Rh  0.500  0.000  0.098
Rh  0.500  0.000  0.297
Rh  0.500  0.000  0.500
Rh  0.500  0.000  0.703
Rh  0.500  0.000  0.902
Rh  0.500  0.500  0.000
Rh  0.500  0.500  0.197
Rh  0.500  0.500  0.399
Rh  0.500  0.500  0.601
Rh  0.500  0.500  0.803

Density: 13.70 g cm⁻³
Energy of formation: -482 meV per atom

***

A relaxed structure of TbPmDyY2. Source: Alexandria, functional PBE.

abc: 7.128 7.128 7.220
angles: 90.00 90.00 107.39
Fractional positions:
Tb  0.004  0.996  0.750
Tb  0.996  0.004  0.250
Pm  0.272  0.728  0.750
Pm  0.728  0.272  0.250
Dy  0.273  0.727  0.250
Dy  0.727  0.273  0.750
Y  0.310  0.310  0.000
Y  0.310  0.310  0.500
Y  0.690  0.690  0.000
Y  0.690  0.690  0.500

Density: 6.11 g cm⁻³
Energy of formation: 390 meV per atom

***

A relaxed structure of Ba2SiRu. Source: Alexandria, functional PBE.

abc: 5.301 5.301 5.301
angles: 120.18 120.18 89.69
Fractional positions:
Ba  0.000  0.000  0.000
Ba  0.750  0.250  0.500
Si  0.500  0.500  0.000
Ru  0.250  0.750  0.500

Density: 6.38 g cm⁻³
Total energy: -0.3037 Ry/atom

***

A relaxed structure of La2TbDy2Cd5. Source: Alexandria, functional PBE.

abc: 10.734 10.734 4.804
angles: 90.00 90.00 90.00
Fractional positions:
La  0.176  0.324  0.000
La  0.324  0.824  0.000
La  0.676  0.176  0.000
La  0.824  0.676  0.000
Tb  0.000  0.000  0.000
Tb  0.500  0.500  0.000
Dy  0.123  0.623  0.000
Dy  0.377  0.123  0.000
Dy  0.623  0.877  0.000
Dy  0.877  0.377  0.000
Cd  0.000  0.500  0.500
Cd  0.067  0.805  0.500
Cd  0.195  0.067  0.500
Cd  0.305  0.567  0.500
Cd  0.433  0.305  0.500
Cd  0.500  0.000  0.500
Cd  0.567  0.695  0.500
Cd  0.695  0.433  0.500
Cd  0.805  0.933  0.500
Cd  0.933  0.195  0.500

Density: 7.94 g cm⁻³
Energy of formation: -212 meV per atom

***

A relaxed structure of Tb2Zn5Ag5. Source: Alexandria, functional PBE.

abc: 4.543 5.290 9.437
angles: 90.00 90.00 90.00
Fractional positions:
Tb  0.000  0.000  0.000
Tb  0.000  0.500  0.500
Zn  0.500  0.000  0.500
Zn  0.500  0.250  0.254
Zn  0.500  0.250  0.746
Zn  0.500  0.750  0.254
Zn  0.500  0.750  0.746
Ag  0.000  0.000  0.334
Ag  0.000  0.000  0.666
Ag  0.000  0.500  0.176
Ag  0.000  0.500  0.824
Ag  0.500  0.500  0.000

Density: 8.67 g cm⁻³
Energy of formation: -231 meV per atom

***

A relaxed structure of Be2FeSb. Source: Alexandria, functional PBE.

abc: 2.974 3.623 4.894
angles: 90.00 93.74 90.00
Fractional positions:
Be  0.000  0.000  0.000
Be  0.490  0.500  0.066
Fe  0.545  0.000  0.333
Sb  0.059  0.500  0.572

Density: 6.17 g cm⁻³
Total energy: -0.3467 Ry/atom

***

A relaxed structure of NiTe2Ir. Source: Alexandria, functional PBE.

abc: 3.865 3.865 6.516
angles: 107.11 107.11 59.93
Fractional positions:
Ni  0.000  0.000  0.000
Te  0.251  0.251  0.753
Te  0.749  0.749  0.247
Ir  0.500  0.500  0.500

Density: 10.61 g cm⁻³
Total energy: -0.3764 Ry/atom

***

A relaxed structure of Na2AcSnO4. Source: Alexandria, functional PBE.

abc: 6.606 6.606 10.975
angles: 90.00 90.00 145.63
Fractional positions:
Na  0.103  0.897  0.538
Na  0.103  0.897  0.962
Na  0.897  0.103  0.038
Na  0.897  0.103  0.462
Ac  0.420  0.580  0.750
Ac  0.580  0.420  0.250
Sn  0.307  0.693  0.250
Sn  0.693  0.307  0.750
O  0.120  0.880  0.750
O  0.181  0.819  0.135
O  0.181  0.819  0.365
O  0.500  0.500  0.000
O  0.500  0.500  0.500
O  0.819  0.181  0.635
O  0.819  0.181  0.865
O  0.880  0.120  0.250

Density: 5.60 g cm⁻³
Total energy: -0.4110 Ry/atom

***

A relaxed structure of Ni3HOs. Source: Alexandria, functional PBE.

abc: 4.534 4.534 4.534
angles: 90.00 90.00 90.00
Fractional positions:
Ni  0.000  0.000  0.500
Ni  0.000  0.500  0.000
Ni  0.500  0.000  0.000
H  0.500  0.500  0.500
Os  0.000  0.000  0.000

Density: 6.55 g cm⁻³
Total energy: -0.3304 Ry/atom

***

A relaxed structure of Na2ScBi. Source: Alexandria, functional PBE.

abc: 12.785 12.785 12.785
angles: 160.48 160.48 27.75
Fractional positions:
Na  0.117  0.625  0.992
Na  0.375  0.367  0.492
Na  0.633  0.125  0.008
Na  0.875  0.883  0.508
Sc  0.250  0.750  0.500
Sc  0.500  0.500  0.000
Bi  0.000  0.000  0.000
Bi  0.750  0.250  0.500

Density: 4.27 g cm⁻³
Energy of formation: -99 meV per atom

***

A relaxed structure of ScVBiPd2. Source: Alexandria, functional PBE.

abc: 4.692 4.692 5.096
angles: 90.00 90.00 90.00
Fractional positions:
Sc  0.000  0.000  0.000
V  0.500  0.500  0.500
Bi  0.500  0.500  0.000
Pd  0.000  0.500  0.500
Pd  0.500  0.000  0.500

Density: 7.66 g cm⁻³
Energy of formation: 302 meV per atom